Compound: Sr2ScTe
Source: the Alexandria database
Functional: GGA-PBE
Structure: optimized geometry

abc: 4.8474 4.8474 11.9611
angles: 90.00 90.00 90.00
Fractional coordinates of all 8 atoms:
Sr1 0.0000 0.0000 0.0000
Sr2 0.0000 0.5000 0.2500
Sr3 0.5000 0.0000 0.7500
Sr4 0.5000 0.5000 0.5000
Sc1 0.0000 0.0000 0.5000
Sc2 0.5000 0.5000 0.0000
Te1 0.0000 0.5000 0.7500
Te2 0.5000 0.0000 0.2500

Calculated values
energy relative to the elements, uncorrected	-1.25	eV/f.u.